First-principles (meta-GGA SCAN) data for Co3SnAs at its PBEsol-relaxed geometry, as listed in Alexandria via LeMat-Bulk.

```
data_Co3SnAs
_chemical_formula_sum 'Co3 Sn1 As1'
_cell_length_a 4.569
_cell_length_b 4.569
_cell_length_c 4.569
_cell_angle_alpha 90.00
_cell_angle_beta 90.00
_cell_angle_gamma 90.00
_space_group_name_H-M_alt 'P m -3 m'
_space_group_IT_number 221
_space_group_name_Hall '-P 4 2 3'
loop_
_atom_site_label
_atom_site_type_symbol
_atom_site_fract_x
_atom_site_fract_y
_atom_site_fract_z
_atom_site_occupancy
Co1 Co 0.000 0.000 0.500 1
Sn1 Sn 0.000 0.000 0.000 1
As1 As 0.500 0.500 0.500 1
```

Output
Volume: 19.07 Å³/atom
Calculated formation energy: 1.4397 eV/atom
Energy: -100.83 eV/cell